The following is a DFT calculation (PBE-GGA) of Sn2TePd2 after structural relaxation.

POSCAR file:
```
Sn2TePd2
1.0
-5.4049 -2.5339 5.8897
5.9251 0.9696 5.8546
-0.9073 2.9385 0.4316
Pd Sn Te
4 4 2
Direct
0.3801 0.1199 0.5000
0.6199 0.8801 0.5000
0.8801 0.3801 0.5000
0.1199 0.6199 0.5000
0.6681 0.1681 0.0000
0.1681 0.3319 0.0000
0.3319 0.8319 0.0000
0.8319 0.6681 0.0000
0.5000 0.5000 0.0000
0.0000 0.0000 0.0000
```

Values from the calculation:
Electronic total energy   -44.59 eV per cell
Calculated volume   218 Å³/cell
ρ   8.788 g cm⁻³
E above lowest polymorph   0.64 eV/f.u.